# 1
A plane-wave DFT calculation with PBE-GGA was carried out for a geometry-optimized V3GaHg structure.

Formation energy from the elements ... 1.669 eV per atom
Energy above the lowest structure with this stoichiometry ... 0.649 eV per atom
SG ... Pm-3m (221)
D(E_F) ... 2.90 states/eV/atom
Density ... 5.497 g/cm³

a = 5.037 Å, b = 5.037 Å, c = 5.037 Å
α = 90.00°, β = 90.00°, γ = 90.00°
Site moments in Bohr magnetons follow the coordinates.
Element x y z (fractional)
Hg  0.000  0.000  0.000  0.10
Ga  0.500  0.500  0.500  0.00
V  0.000  0.500  0.000  2.54
V  0.000  0.000  0.500  2.54
V  0.500  0.000  0.000  2.54


# 2
A plane-wave DFT calculation with PBE-GGA was carried out for a geometry-optimized V2GaHg structure.

Formation energy from the elements ... 0.526 eV per atom
SG ... I-42d (122)
D(E_F) ... 0.87 states/eV/atom
Density ... 9.057 g/cm³

a = 7.121 Å, b = 7.121 Å, c = 5.710 Å
α = 51.42°, β = 51.42°, γ = 90.00°
Element x y z (fractional)
Hg  0.000  0.000  0.000
Hg  0.750  0.250  0.500
Ga  0.500  0.500  0.000
Ga  0.250  0.750  0.500
V  0.611  0.125  0.250
V  0.139  0.625  0.250
V  0.375  0.389  0.750
V  0.875  0.861  0.750


# 3
A plane-wave DFT calculation with PBE-GGA was carried out for a geometry-optimized VGaHg structure.

Formation energy from the elements ... 0.024 eV per atom
SG ... P-1 (2)
D(E_F) ... 0.43 states/eV/atom
Density ... 9.533 g/cm³

a = 5.270 Å, b = 4.321 Å, c = 11.206 Å
α = 125.52°, β = 129.03°, γ = 34.79°
Element x y z (fractional)
V  0.045  0.632  0.323
V  0.335  0.018  0.110
Ga  0.575  0.647  0.353
Ga  0.804  0.004  0.080
Hg  0.833  0.279  0.614
Hg  0.546  0.372  0.819


# 4
A plane-wave DFT calculation with PBE-GGA was carried out for a geometry-optimized VGaHg2 structure.

Formation energy from the elements ... 0.573 eV per atom
SG ... R-3m (166)
D(E_F) ... 1.07 states/eV/atom
Density ... 9.899 g/cm³

a = 3.060 Å, b = 3.060 Å, c = 10.936 Å
α = 81.96°, β = 81.96°, γ = 60.00°
Site moments in Bohr magnetons follow the coordinates.
Element x y z (fractional)
Hg  0.086  0.086  0.741  0.02
Hg  0.914  0.914  0.259  0.02
Ga  0.500  0.500  0.500  0.00
V  0.000  0.000  0.000  2.32